Here is a relaxed structure of Be9NbRu2 from Alexandria via LeMat-Bulk. Energies are from GGA-PBE.

a = 4.3762 Å, b = 4.3762 Å, c = 20.6960 Å
α = 90.00°, β = 90.00°, γ = 120.00°
With the nearest neighbours (Å) after each atom.
Space group R-3m (No. 166, hexagonal axes)
Symmetry-distinct sites (fractional):
Be1 0.0000 0.0000 0.0000  6 Be 2.12
Be2 0.0000 0.0000 0.1666  6 Be 2.16-2.18
Be3 0.0048 0.5024 0.4150  7 Be 2.12-2.22
Nb1 0.0000 0.0000 0.5000  18 Be 2.53-2.81
Ru1 0.0000 0.0000 0.3582  12 Be 2.48-2.58, 3 Ru 2.73

Values from the calculation:
N(E_F) = 7.0 states/eV/f.u.
ΔH_f (0 K) = -290 meV/atom

Here is a relaxed structure of Be16Nb2Ru from Alexandria via LeMat-Bulk. Energies are from GGA-PBE.

a = 7.5352 Å, b = 7.5352 Å, c = 10.8248 Å
α = 90.00°, β = 90.00°, γ = 120.00°
With the nearest neighbours (Å) after each atom.
Space group R3m (No. 160, hexagonal axes)
Symmetry-distinct sites (fractional):
Be1 0.0000 0.0000 0.1127  1 Ru 2.24, 6 Be 2.24-2.34
Be2 0.9998 0.2915 0.0000  8 Be 2.11-2.31
Be3 0.0070 0.5035 0.1564  8 Be 2.15-2.31, 1 Ru 2.39
Be4 0.1683 0.3367 0.8363  9 Be 2.11-2.24, 1 Ru 2.32
Be5 0.1699 0.3397 0.1808  9 Be 2.15-2.34
Nb1 0.0000 0.0000 0.3462  13 Be 2.53-2.80
Nb2 0.0000 0.0000 0.6610  1 Ru 2.65, 18 Be 2.66-2.90
Ru1 0.0000 0.0000 0.9058  13 Be 2.24-2.42

Values from the calculation:
N(E_F) = 7.8 states/eV/f.u.
ΔH_f (0 K) = -221 meV/atom

Here is a relaxed structure of BeNb2Ru from Alexandria via LeMat-Bulk. Energies are from GGA-PBE.

a = 6.9780 Å, b = 6.9780 Å, c = 5.2448 Å
α = 90.00°, β = 90.00°, γ = 90.00°
With the nearest neighbours (Å) after each atom.
Space group I-42d (No. 122)
Symmetry-distinct sites (fractional):
Be1 0.0000 0.0000 0.0000  4 Nb 2.54, 2 Ru 2.62
Nb1 0.2483 0.2500 0.1250  2 Be 2.54, 2 Ru 2.56, 2 Nb 2.62
Ru1 0.0000 0.0000 0.5000  4 Nb 2.56, 2 Be 2.62

Values from the calculation:
N(E_F) = 3.7 states/eV/f.u.
ΔH_f (0 K) = 430 meV/atom

Here is a relaxed structure of BeNb3Ru from Alexandria via LeMat-Bulk. Energies are from GGA-PBE.

a = 4.3740 Å, b = 4.3740 Å, c = 4.3740 Å
α = 90.00°, β = 90.00°, γ = 90.00°
With the nearest neighbours (Å) after each atom.
Space group Pm-3m (No. 221)
Symmetry-distinct sites (fractional):
Be1 0.0000 0.0000 0.0000  6 Nb 2.19
Nb1 0.0000 0.0000 0.5000  2 Be 2.19
Ru1 0.5000 0.5000 0.5000  12 Nb 3.09

Values from the calculation:
N(E_F) = 11.7 states/eV/f.u.
ΔH_f (0 K) = 646 meV/atom
relative energy among the computed polymorphs = 0.00 eV per formula unit

Here is a relaxed structure of BeNbRu3 from Alexandria via LeMat-Bulk. Energies are from GGA-PBE.

a = 4.1126 Å, b = 4.1126 Å, c = 4.1126 Å
α = 90.00°, β = 90.00°, γ = 90.00°
With the nearest neighbours (Å) after each atom.
Space group Pm-3m (No. 221)
Symmetry-distinct sites (fractional):
Be1 0.0000 0.0000 0.0000  6 Ru 2.06
Nb1 0.5000 0.5000 0.5000  12 Ru 2.91
Ru1 0.0000 0.0000 0.5000  2 Be 2.06

Values from the calculation:
N(E_F) = 2.4 states/eV/f.u.
ΔH_f (0 K) = 59 meV/atom
relative energy among the computed polymorphs = 0.00 eV per formula unit

Here is a relaxed structure of Be2Nb2Ru from Alexandria via LeMat-Bulk. Energies are from GGA-PBE.

a = 6.9827 Å, b = 6.9827 Å, c = 2.9409 Å
α = 90.00°, β = 90.00°, γ = 90.00°
With the nearest neighbours (Å) after each atom.
Space group P4/mbm (No. 127)
Symmetry-distinct sites (fractional):
Be1 0.1084 0.3916 0.0000  1 Be 2.14
Nb1 0.1798 0.6798 0.5000  6 Be 2.54-2.56, 2 Ru 2.56
Ru1 0.0000 0.0000 0.5000  4 Nb 2.56

Values from the calculation:
N(E_F) = 3.3 states/eV/f.u.
ΔH_f (0 K) = 362 meV/atom
relative energy among the computed polymorphs = 3.56 eV per formula unit

Here is a relaxed structure of Be3NbRu from Alexandria via LeMat-Bulk. Energies are from GGA-PBE.

a = 4.2144 Å, b = 4.2144 Å, c = 4.2144 Å
α = 90.00°, β = 90.00°, γ = 90.00°
With the nearest neighbours (Å) after each atom.
Space group Pm-3m (No. 221)
Symmetry-distinct sites (fractional):
Be1 0.0000 0.0000 0.5000  2 Nb 2.11
Nb1 0.0000 0.0000 0.0000  6 Be 2.11
Ru1 0.5000 0.5000 0.5000  12 Be 2.98

Values from the calculation:
N(E_F) = 9.1 states/eV/f.u.
ΔH_f (0 K) = 1736 meV/atom
relative energy among the computed polymorphs = 6.66 eV per formula unit

Here is a relaxed structure of BeNbRu3 from Alexandria via LeMat-Bulk. Energies are from GGA-PBE.

a = 4.6879 Å, b = 4.6879 Å, c = 4.6879 Å
α = 90.00°, β = 90.00°, γ = 90.00°
With the nearest neighbours (Å) after each atom.
Space group Pm-3m (No. 221)
Symmetry-distinct sites (fractional):
Be1 0.0000 0.0000 0.0000  12 Ru 3.31
Nb1 0.5000 0.5000 0.5000  6 Ru 2.34
Ru1 0.0000 0.5000 0.5000  2 Nb 2.34

Values from the calculation:
N(E_F) = 6.2 states/eV/f.u.
ΔH_f (0 K) = 1837 meV/atom
relative energy among the computed polymorphs = 8.89 eV per formula unit

Here is a relaxed structure of Be3NbRu from Alexandria via LeMat-Bulk. Energies are from GGA-PBE.

a = 4.0366 Å, b = 4.0366 Å, c = 4.0366 Å
α = 90.00°, β = 90.00°, γ = 90.00°
With the nearest neighbours (Å) after each atom.
Space group Pm-3m (No. 221)
Symmetry-distinct sites (fractional):
Be1 0.0000 0.0000 0.5000  2 Ru 2.02
Nb1 0.5000 0.5000 0.5000  12 Be 2.85
Ru1 0.0000 0.0000 0.0000  6 Be 2.02

Values from the calculation:
N(E_F) = 2.3 states/eV/f.u.
ΔH_f (0 K) = 403 meV/atom
relative energy among the computed polymorphs = 0.00 eV per formula unit

Here is a relaxed structure of Be2Nb2Ru from Alexandria via LeMat-Bulk. Energies are from GGA-PBE.

a = 2.9657 Å, b = 2.9657 Å, c = 16.0835 Å
α = 90.00°, β = 90.00°, γ = 90.00°
With the nearest neighbours (Å) after each atom.
Space group I4/mmm (No. 139)
Symmetry-distinct sites (fractional):
Be1 0.0000 0.5000 0.2500  4 Be 2.10
Nb1 0.0000 0.0000 0.1089  4 Be 2.71, 4 Ru 2.73, 4 Nb 2.97
Ru1 0.0000 0.0000 0.5000  8 Nb 2.73, 4 Ru 2.97

Values from the calculation:
N(E_F) = 4.8 states/eV/f.u.
ΔH_f (0 K) = 177 meV/atom
relative energy among the computed polymorphs = 2.63 eV per formula unit

Here is a relaxed structure of Be2Nb2Ru from Alexandria via LeMat-Bulk. Energies are from GGA-PBE.

a = 3.6667 Å, b = 3.6667 Å, c = 10.5888 Å
α = 90.00°, β = 90.00°, γ = 90.00°
With the nearest neighbours (Å) after each atom.
Space group I4/mmm (No. 139)
Symmetry-distinct sites (fractional):
Be1 0.0000 0.0000 0.0887  1 Be 1.88
Nb1 0.0000 0.5000 0.2500  4 Be 2.51, 4 Nb 2.59
Ru1 0.0000 0.0000 0.5000  8 Be 2.76

Values from the calculation:
N(E_F) = 2.7 states/eV/f.u.
ΔH_f (0 K) = 329 meV/atom
relative energy among the computed polymorphs = 3.39 eV per formula unit

Here is a relaxed structure of Sc2Be2NbRu5 from Alexandria via LeMat-Bulk. Energies are from GGA-PBE.

a = 9.4825 Å, b = 9.4825 Å, c = 3.2085 Å
α = 90.00°, β = 90.00°, γ = 90.00°
With the nearest neighbours (Å) after each atom.
Space group P4/mbm (No. 127)
Symmetry-distinct sites (fractional):
Sc1 0.1736 0.3264 0.0000  3 Be 2.74-2.85, 10 Ru 2.83-3.02
Be1 0.1223 0.6223 0.0000  6 Ru 2.29-2.31
Nb1 0.0000 0.0000 0.0000  8 Ru 2.65
Ru1 0.0000 0.5000 0.5000  4 Be 2.29
Ru2 0.0702 0.7891 0.5000  2 Be 2.31

Values from the calculation:
N(E_F) = 8.5 states/eV/f.u.
ΔH_f (0 K) = -419 meV/atom

Here is a relaxed structure of Be2Nb2SnRu5 from Alexandria via LeMat-Bulk. Energies are from GGA-PBE.

a = 9.4422 Å, b = 9.4422 Å, c = 3.1707 Å
α = 90.00°, β = 90.00°, γ = 90.00°
With the nearest neighbours (Å) after each atom.
Space group P4/mbm (No. 127)
Symmetry-distinct sites (fractional):
Be1 0.1216 0.3784 0.0000  6 Ru 2.26-2.27
Nb1 0.1739 0.6739 0.0000  3 Be 2.73-2.83, 10 Ru 2.81-3.00
Sn1 0.0000 0.0000 0.0000  8 Ru 2.66
Ru1 0.0000 0.5000 0.5000  4 Be 2.27
Ru2 0.0723 0.2147 0.5000  2 Be 2.26

Values from the calculation:
N(E_F) = 6.0 states/eV/f.u.
ΔH_f (0 K) = -287 meV/atom

Here is a relaxed structure of TaBeNbRu2 from Alexandria via LeMat-Bulk. Energies are from GGA-PBE.

a = 4.6328 Å, b = 4.6328 Å, c = 4.3889 Å
α = 90.00°, β = 90.00°, γ = 90.00°
With the nearest neighbours (Å) after each atom.
Space group P4/mmm (No. 123)
Symmetry-distinct sites (fractional):
Ta1 0.0000 0.0000 0.0000  2 Be 2.19, 4 Ru 2.32
Be1 0.0000 0.0000 0.5000  2 Ta 2.19
Nb1 0.5000 0.5000 0.5000  8 Ru 3.19, 4 Be 3.28
Ru1 0.0000 0.5000 0.0000  2 Ta 2.32

Values from the calculation:
N(E_F) = 7.2 states/eV/f.u.
ΔH_f (0 K) = 1453 meV/atom

Here is a relaxed structure of TaBe2Nb2Ru5 from Alexandria via LeMat-Bulk. Energies are from GGA-PBE.

a = 9.4246 Å, b = 9.4246 Å, c = 3.1445 Å
α = 90.00°, β = 90.00°, γ = 90.00°
With the nearest neighbours (Å) after each atom.
Space group P4/mbm (No. 127)
Symmetry-distinct sites (fractional):
Ta1 0.0000 0.0000 0.0000  8 Ru 2.63
Be1 0.1211 0.3789 0.0000  6 Ru 2.25-2.27
Nb1 0.1739 0.6739 0.0000  3 Be 2.73-2.83, 10 Ru 2.80-3.02
Ru1 0.0000 0.5000 0.5000  4 Be 2.25
Ru2 0.0740 0.2111 0.5000  2 Be 2.27

Values from the calculation:
N(E_F) = 5.3 states/eV/f.u.
ΔH_f (0 K) = -405 meV/atom

Here is a relaxed structure of Be2Nb2TcRu5 from Alexandria via LeMat-Bulk. Energies are from GGA-PBE.

a = 9.4251 Å, b = 9.4251 Å, c = 3.0741 Å
α = 90.00°, β = 90.00°, γ = 90.00°
With the nearest neighbours (Å) after each atom.
Space group P4/mbm (No. 127)
Symmetry-distinct sites (fractional):
Be1 0.1208 0.3792 0.0000  6 Ru 2.23-2.26
Nb1 0.1749 0.6749 0.0000  3 Be 2.72-2.83, 10 Ru 2.79-3.00
Tc1 0.0000 0.0000 0.0000  8 Ru 2.60
Ru1 0.0000 0.5000 0.5000  4 Be 2.23
Ru2 0.0735 0.2100 0.5000  2 Be 2.26

Values from the calculation:
N(E_F) = 5.7 states/eV/f.u.
ΔH_f (0 K) = -226 meV/atom

Here is a relaxed structure of TiBeNbRu2 from Alexandria via LeMat-Bulk. Energies are from GGA-PBE.

a = 4.1587 Å, b = 4.1587 Å, c = 4.2305 Å
α = 90.00°, β = 90.00°, γ = 90.00°
With the nearest neighbours (Å) after each atom.
Space group P4/mmm (No. 123)
Symmetry-distinct sites (fractional):
Ti1 0.0000 0.0000 0.0000  2 Be 2.12
Be1 0.0000 0.0000 0.5000  4 Ru 2.08, 2 Ti 2.12
Nb1 0.5000 0.5000 0.0000  4 Ti 2.94, 8 Ru 2.97
Ru1 0.0000 0.5000 0.5000  2 Be 2.08

Values from the calculation:
N(E_F) = 5.8 states/eV/f.u.
ΔH_f (0 K) = 173 meV/atom

Here is a relaxed structure of UBe2Nb2Ru5 from Alexandria via LeMat-Bulk. Energies are from GGA-PBE.

a = 9.3885 Å, b = 9.3885 Å, c = 3.3007 Å
α = 90.00°, β = 90.00°, γ = 90.00°
With the nearest neighbours (Å) after each atom.
Space group P4/mbm (No. 127)
Symmetry-distinct sites (fractional):
U1 0.0000 0.0000 0.0000  8 Ru 2.67
Be1 0.1241 0.3759 0.0000  6 Ru 2.31-2.33
Nb1 0.1686 0.6686 0.0000  3 Be 2.75-2.78, 10 Ru 2.78-3.03
Ru1 0.0000 0.5000 0.5000  4 Be 2.33
Ru2 0.0746 0.2114 0.5000  2 Be 2.31

Values from the calculation:
N(E_F) = 4.6 states/eV/f.u.
ΔH_f (0 K) = -345 meV/atom

Here is a relaxed structure of Be2Nb2VRu5 from Alexandria via LeMat-Bulk. Energies are from GGA-PBE.

a = 9.3218 Å, b = 9.3218 Å, c = 3.0872 Å
α = 90.00°, β = 90.00°, γ = 90.00°
With the nearest neighbours (Å) after each atom.
Space group P4/mbm (No. 127)
Symmetry-distinct sites (fractional):
Be1 0.1234 0.3766 0.0000  6 Ru 2.24-2.27
Nb1 0.1740 0.6740 0.0000  3 Be 2.67-2.81, 10 Ru 2.77-2.98
V1 0.0000 0.0000 0.0000  8 Ru 2.55
Ru1 0.0000 0.5000 0.5000  4 Be 2.24
Ru2 0.0716 0.2060 0.5000  2 Be 2.27

Values from the calculation:
N(E_F) = 5.5 states/eV/f.u.
ΔH_f (0 K) = -384 meV/atom

Here is a relaxed structure of Be2NbV2Ru5 from Alexandria via LeMat-Bulk. Energies are from GGA-PBE.

a = 9.2764 Å, b = 9.2764 Å, c = 3.0996 Å
α = 90.00°, β = 90.00°, γ = 90.00°
With the nearest neighbours (Å) after each atom.
Space group P4/mbm (No. 127)
Symmetry-distinct sites (fractional):
Be1 0.1205 0.3795 0.0000  6 Ru 2.21-2.25
Nb1 0.0000 0.0000 0.0000  8 Ru 2.59
V1 0.1743 0.6743 0.0000  3 Be 2.69-2.78, 6 Ru 2.75-2.76
Ru1 0.0000 0.5000 0.5000  4 Be 2.21
Ru2 0.0826 0.2083 0.5000  2 Be 2.25

Values from the calculation:
N(E_F) = 5.8 states/eV/f.u.
ΔH_f (0 K) = -187 meV/atom